Here is an optimized crystal structure of Pu6Ru3Pt from Alexandria via LeMat-Bulk. Energies are from PBE.

Summary:
Formation energy from the elements ... -0.025 eV per atom
Space group ... R3 (146)

POSCAR file:
```
Pu6Ru3Pt
1.0
3.2821 1.8949 6.3008
-3.2821 1.8949 6.3008
0.0000 -3.7898 6.3008
Pu Ru Pt
6 3 1
direct
0.0029 0.3994 0.5977 Pu
0.0852 0.9167 0.4987 Pu
0.3994 0.5977 0.0029 Pu
0.4987 0.0852 0.9167 Pu
0.5977 0.0029 0.3994 Pu
0.9167 0.4987 0.0852 Pu
0.0741 0.0741 0.0741 Ru
0.5823 0.5823 0.5823 Ru
0.9234 0.9234 0.9234 Ru
0.4406 0.4406 0.4406 Pt
```